No. 1
# MgNp2As3Rh4 (PBE, relaxed)
# Formation enthalpy at 0 K ... -0.5711 eV/atom
# Calculated total energy ... -7.654 eV/atom
# Total moment ... 7.4 μB/f.u.
# Crystal system ... tetragonal
data_MgNp2As3Rh4
_space_group_name_H-M_alt 'P -4 m 2'
_space_group_IT_number 115
_space_group_name_Hall 'P -4 -2'
_cell_length_a 3.9927
_cell_length_b 3.9927
_cell_length_c 11.3339
_cell_angle_alpha 90.00
_cell_angle_beta 90.00
_cell_angle_gamma 90.00
loop_
_atom_site_label
_atom_site_type_symbol
_atom_site_fract_x
_atom_site_fract_y
_atom_site_fract_z
Mg1 Mg 0.0000 0.0000 0.0000
Np1 Np 0.0000 0.5000 0.7438
As1 As 0.0000 0.5000 0.3700
As2 As 0.5000 0.5000 0.0000
Rh1 Rh 0.0000 0.0000 0.5000
Rh2 Rh 0.0000 0.5000 0.1567
Rh3 Rh 0.5000 0.5000 0.5000

No. 2
# Mg3AsO (PBE, relaxed)
# Calculated total energy ... -2.778 eV/atom
# Total moment ... 0.0 μB/f.u.
# E_form (uncorrected) ... 0.10 eV per atom
# Crystal system ... cubic
data_Mg3AsO
_space_group_name_H-M_alt 'P m -3 m'
_space_group_IT_number 221
_space_group_name_Hall '-P 4 2 3'
_cell_length_a 4.9021
_cell_length_b 4.9021
_cell_length_c 4.9021
_cell_angle_alpha 90.00
_cell_angle_beta 90.00
_cell_angle_gamma 90.00
loop_
_atom_site_label
_atom_site_type_symbol
_atom_site_fract_x
_atom_site_fract_y
_atom_site_fract_z
Mg1 Mg 0.0000 0.0000 0.5000
As1 As 0.0000 0.0000 0.0000
O1 O 0.5000 0.5000 0.5000

No. 3
# MgAs2O (PBE, relaxed)
# Calculated total energy ... -4.135 eV/atom
# Total moment ... 0.0 μB/f.u.
# E_form (uncorrected) ... -0.17 eV per atom
# Crystal system ... tetragonal
data_MgAs2O
_space_group_name_H-M_alt 'I -4 2 d'
_space_group_IT_number 122
_space_group_name_Hall 'I -4 2bw'
_cell_length_a 4.8852
_cell_length_b 4.8852
_cell_length_c 13.6925
_cell_angle_alpha 90.00
_cell_angle_beta 90.00
_cell_angle_gamma 90.00
loop_
_atom_site_label
_atom_site_type_symbol
_atom_site_fract_x
_atom_site_fract_y
_atom_site_fract_z
Mg1 Mg 0.0000 0.0000 0.0000
As1 As 0.0999 0.2500 0.6250
O1 O 0.0000 0.0000 0.5000

No. 4
# MgAsO (PBE, relaxed)
# Calculated total energy ... -5.203 eV/atom
# Total moment ... 0.0 μB/f.u.
# E_form (uncorrected) ... -1.47 eV per atom
# Crystal system ... orthorhombic
data_MgAsO
_space_group_name_H-M_alt 'A e m 2'
_space_group_IT_number 39
_space_group_name_Hall 'A 2 -2b'
_cell_length_a 10.0620
_cell_length_b 4.3971
_cell_length_c 4.1965
_cell_angle_alpha 90.00
_cell_angle_beta 90.00
_cell_angle_gamma 90.00
loop_
_atom_site_label
_atom_site_type_symbol
_atom_site_fract_x
_atom_site_fract_y
_atom_site_fract_z
Mg1 Mg 0.1030 0.2500 0.0000
As1 As 0.4297 0.2500 0.0096
O1 O 0.1078 0.2500 0.5000

No. 5
# MgAsO (PBE, relaxed)
# Calculated total energy ... -5.044 eV/atom
# Total moment ... 0.0 μB/f.u.
# E_form (uncorrected) ... -1.31 eV per atom
# Crystal system ... tetragonal
data_MgAsO
_space_group_name_H-M_alt 'P 4/m m m'
_space_group_IT_number 123
_space_group_name_Hall '-P 4 2'
_cell_length_a 2.8126
_cell_length_b 2.8126
_cell_length_c 6.0648
_cell_angle_alpha 90.00
_cell_angle_beta 90.00
_cell_angle_gamma 90.00
loop_
_atom_site_label
_atom_site_type_symbol
_atom_site_fract_x
_atom_site_fract_y
_atom_site_fract_z
Mg1 Mg 0.0000 0.0000 0.0000
As1 As 0.5000 0.5000 0.5000
O1 O 0.5000 0.5000 0.0000

No. 6
# MgAs3O (PBE, relaxed)
# Calculated total energy ... -4.045 eV/atom
# Total moment ... 0.0 μB/f.u.
# E_form (uncorrected) ... 0.06 eV per atom
# Crystal system ... cubic
data_MgAs3O
_space_group_name_H-M_alt 'P m -3 m'
_space_group_IT_number 221
_space_group_name_Hall '-P 4 2 3'
_cell_length_a 4.4388
_cell_length_b 4.4388
_cell_length_c 4.4388
_cell_angle_alpha 90.00
_cell_angle_beta 90.00
_cell_angle_gamma 90.00
loop_
_atom_site_label
_atom_site_type_symbol
_atom_site_fract_x
_atom_site_fract_y
_atom_site_fract_z
Mg1 Mg 0.0000 0.0000 0.0000
As1 As 0.0000 0.5000 0.5000
O1 O 0.5000 0.5000 0.5000